Entry 1:
A plane-wave DFT calculation with PBE-GGA was carried out for crystalline PPb2 at its relaxed geometry.

a b c (Å): 7.0468 7.0468 7.0468
angles (deg): 90.00 90.00 90.00
With the nearest neighbours (Å) after each atom.
Sites, in units of the cell vectors:
1 P 0.0000 0.0000 0.0000  6 Pb 2.90
2 P 0.0000 0.5000 0.5000  6 Pb 2.90
3 P 0.5000 0.0000 0.5000  6 Pb 2.90
4 P 0.5000 0.5000 0.0000  6 Pb 2.90
5 Pb 0.1339 0.6339 0.8661  3 P 2.90
6 Pb 0.1339 0.8661 0.3661  3 P 2.90
7 Pb 0.3661 0.1339 0.8661  3 P 2.90
8 Pb 0.3661 0.3661 0.3661  3 P 2.90
9 Pb 0.6339 0.6339 0.6339  3 P 2.90
10 Pb 0.6339 0.8661 0.1339  3 P 2.90
11 Pb 0.8661 0.1339 0.6339  3 P 2.90
12 Pb 0.8661 0.3661 0.1339  3 P 2.90

Results
volume: 349.9 Å³/cell
energy above the most stable polymorph in this dataset: 65 meV/atom
D(E_F): 4.24 states/eV/cell
DFT formation energy: 13.8 kJ per mole of atoms

Entry 2:
A plane-wave DFT calculation with PBE-GGA was carried out for crystalline P4Pb5 at its relaxed geometry.

a b c (Å): 7.7956 7.7956 7.7956
angles (deg): 94.16 94.16 148.74
With the nearest neighbours (Å) after each atom.
Sites, in units of the cell vectors:
1 P 0.0000 0.3974 0.3974  1 P 2.18
2 P 0.0000 0.6026 0.6026  1 P 2.18
3 P 0.3974 0.0000 0.3974  1 P 2.18
4 P 0.6026 0.0000 0.6026  1 P 2.18
5 Pb 0.0000 0.0000 0.0000  8 Pb 3.24
6 Pb 0.3355 0.3355 0.6709  6 Pb 3.24-3.49, 2 P 3.62
7 Pb 0.3355 0.6646 0.0000  6 Pb 3.24-3.49, 2 P 3.62
8 Pb 0.6646 0.3355 0.0000  6 Pb 3.24-3.49, 2 P 3.62
9 Pb 0.6646 0.6646 0.3291  6 Pb 3.24-3.49, 2 P 3.62

Results
volume: 236.8 Å³/cell
energy above the most stable polymorph in this dataset: 125 meV/atom
D(E_F): 4.17 states/eV/cell
DFT formation energy: 33.5 kJ per mole of atoms

Entry 3:
A plane-wave DFT calculation with PBE-GGA was carried out for crystalline PPb4 at its relaxed geometry.

a b c (Å): 5.9511 5.9511 5.9511
angles (deg): 109.47 109.47 109.47
With the nearest neighbours (Å) after each atom.
Sites, in units of the cell vectors:
1 P 0.0000 0.0000 0.0000  8 Pb 2.98
2 Pb 0.0000 0.0000 0.5000  2 P 2.98
3 Pb 0.0000 0.5000 0.0000  2 P 2.98
4 Pb 0.5000 0.0000 0.0000  2 P 2.98
5 Pb 0.5000 0.5000 0.5000  2 P 2.98

Results
volume: 162.2 Å³/cell
energy above the most stable polymorph in this dataset: 0 meV/atom
D(E_F): 3.78 states/eV/cell
DFT formation energy: 23.6 kJ per mole of atoms

Entry 4:
A plane-wave DFT calculation with PBE-GGA was carried out for crystalline P2Pb at its relaxed geometry.

a b c (Å): 3.4266 3.4266 5.5056
angles (deg): 90.00 90.00 90.00
With the nearest neighbours (Å) after each atom.
Sites, in units of the cell vectors:
1 P 0.0000 0.5000 0.0000  4 P 2.42
2 P 0.5000 0.0000 0.0000  4 P 2.42
3 Pb 0.0000 0.0000 0.5000  8 P 3.24, 4 Pb 3.43

Results
volume: 64.6 Å³/cell
energy above the most stable polymorph in this dataset: 202 meV/atom
D(E_F): 1.09 states/eV/cell
DFT formation energy: 22.7 kJ per mole of atoms

Entry 5:
A plane-wave DFT calculation with PBE-GGA was carried out for crystalline PPb3 at its relaxed geometry.

a b c (Å): 6.0965 6.0965 6.0965
angles (deg): 135.18 135.18 65.25
With the nearest neighbours (Å) after each atom.
Sites, in units of the cell vectors:
1 P 0.0000 0.0000 0.0000  12 Pb 3.29-3.46
2 Pb 0.2500 0.7500 0.5000  8 Pb 3.29-3.46, 4 P 3.46
3 Pb 0.5000 0.5000 0.0000  4 P 3.29, 8 Pb 3.46
4 Pb 0.7500 0.2500 0.5000  8 Pb 3.29-3.46, 4 P 3.46

Results
volume: 110.9 Å³/cell
energy above the most stable polymorph in this dataset: 159 meV/atom
D(E_F): 2.30 states/eV/cell
DFT formation energy: 25.5 kJ per mole of atoms

Entry 6:
A plane-wave DFT calculation with PBE-GGA was carried out for crystalline PPd6Pb2 at its relaxed geometry.

a b c (Å): 6.1212 6.1212 6.1212
angles (deg): 60.00 60.00 60.00
With the nearest neighbours (Å) after each atom.
Sites, in units of the cell vectors:
1 P 0.0000 0.0000 0.0000  6 Pd 2.30
2 Pd 0.2654 0.2654 0.7346  1 P 2.30
3 Pd 0.2654 0.7346 0.2654  1 P 2.30
4 Pd 0.2654 0.7346 0.7346  1 P 2.30
5 Pd 0.7346 0.2654 0.2654  1 P 2.30
6 Pd 0.7346 0.2654 0.7346  1 P 2.30
7 Pd 0.7346 0.7346 0.2654  1 P 2.30
8 Pb 0.2500 0.2500 0.2500  12 Pd 3.06
9 Pb 0.7500 0.7500 0.7500  12 Pd 3.06

Results
volume: 162.2 Å³/cell
energy above the most stable polymorph in this dataset: 0 meV/atom
D(E_F): 5.81 states/eV/cell
DFT formation energy: -28.8 kJ per mole of atoms

Entry 7:
A plane-wave DFT calculation with PBE-GGA was carried out for crystalline P12Pd4Pb at its relaxed geometry.

a b c (Å): 7.1877 7.1877 7.1877
angles (deg): 109.47 109.47 109.47
With the nearest neighbours (Å) after each atom.
Sites, in units of the cell vectors:
1 P 0.1338 0.4973 0.3635  2 P 2.22-2.27, 2 Pd 2.47
2 P 0.1338 0.7702 0.6365  2 P 2.22-2.27, 2 Pd 2.47
3 P 0.2298 0.3635 0.8662  2 P 2.22-2.27, 2 Pd 2.47
4 P 0.3635 0.1338 0.4973  2 P 2.22-2.27, 2 Pd 2.47
5 P 0.3635 0.8662 0.2298  2 P 2.22-2.27, 2 Pd 2.47
6 P 0.4973 0.3635 0.1338  2 P 2.22-2.27, 2 Pd 2.47
7 P 0.5027 0.6365 0.8662  2 P 2.22-2.27, 2 Pd 2.47
8 P 0.6365 0.1338 0.7702  2 P 2.22-2.27, 2 Pd 2.47
9 P 0.6365 0.8662 0.5027  2 P 2.22-2.27, 2 Pd 2.47
10 P 0.7702 0.6365 0.1338  2 P 2.22-2.27, 2 Pd 2.47
11 P 0.8662 0.2298 0.3635  2 P 2.22-2.27, 2 Pd 2.47
12 P 0.8662 0.5027 0.6365  2 P 2.22-2.27, 2 Pd 2.47
13 Pd 0.0000 0.0000 0.5000  6 P 2.47
14 Pd 0.0000 0.5000 0.0000  6 P 2.47
15 Pd 0.5000 0.0000 0.0000  6 P 2.47
16 Pd 0.5000 0.5000 0.5000  6 P 2.47
17 Pb 0.0000 0.0000 0.0000  12 P 3.21, 8 Pd 3.59

Results
volume: 285.9 Å³/cell
D(E_F): 8.57 states/eV/cell
DFT formation energy: -17.8 kJ per mole of atoms

Entry 8:
A plane-wave DFT calculation with PBE-GGA was carried out for crystalline PPd4Pb at its relaxed geometry.

a b c (Å): 6.7963 3.5536 16.8335
angles (deg): 90.00 90.00 90.00
With the nearest neighbours (Å) after each atom.
Sites, in units of the cell vectors:
1 P 0.2486 0.2500 0.0524  9 Pd 2.43-2.63
2 P 0.2514 0.7500 0.5524  9 Pd 2.43-2.63
3 P 0.7486 0.2500 0.4476  9 Pd 2.43-2.63
4 P 0.7514 0.7500 0.9476  9 Pd 2.43-2.63
5 Pd 0.0118 0.2500 0.9379  3 P 2.51, 2 Pd 2.75, 1 Pb 2.77
6 Pd 0.0822 0.2500 0.1910  1 P 2.59, 4 Pb 2.84-2.86, 4 Pd 2.84-2.88
7 Pd 0.1213 0.2500 0.6354  2 P 2.43
8 Pd 0.1351 0.2500 0.4596  3 P 2.49-2.63
9 Pd 0.3649 0.7500 0.9596  3 P 2.49-2.63
10 Pd 0.3787 0.7500 0.1354  2 P 2.43
11 Pd 0.4178 0.7500 0.6910  1 P 2.59, 4 Pb 2.84-2.86, 4 Pd 2.84-2.88
12 Pd 0.4882 0.7500 0.4379  3 P 2.51, 2 Pd 2.75, 1 Pb 2.77
13 Pd 0.5118 0.2500 0.5621  3 P 2.51, 2 Pd 2.75, 1 Pb 2.77
14 Pd 0.5822 0.2500 0.3090  1 P 2.59, 4 Pb 2.84-2.86, 4 Pd 2.84-2.88
15 Pd 0.6213 0.2500 0.8646  2 P 2.43
16 Pd 0.6351 0.2500 0.0404  3 P 2.49-2.63
17 Pd 0.8649 0.7500 0.5404  3 P 2.49-2.63
18 Pd 0.8787 0.7500 0.3646  2 P 2.43
19 Pd 0.9178 0.7500 0.8090  1 P 2.59, 4 Pb 2.84-2.86, 4 Pd 2.84-2.88
20 Pd 0.9882 0.7500 0.0621  3 P 2.51, 2 Pd 2.75, 1 Pb 2.77
21 Pb 0.2474 0.2500 0.8034  7 Pd 2.74-2.95
22 Pb 0.2526 0.7500 0.3034  7 Pd 2.74-2.95
23 Pb 0.7474 0.2500 0.6966  7 Pd 2.74-2.95
24 Pb 0.7526 0.7500 0.1966  7 Pd 2.74-2.95

Results
volume: 406.6 Å³/cell
energy above the most stable polymorph in this dataset: 0 meV/atom
D(E_F): 8.92 states/eV/cell
DFT formation energy: -32.8 kJ per mole of atoms